## HoHfGaHg (PBE-GGA)

Data for HoHfGaHg after structural relaxation.

The structure in CIF format:
```
data_HoHfGaHg
_chemical_formula_sum 'Ho1 Hf1 Ga1 Hg1'
_space_group_name_H-M_alt 'P 1'
_space_group_IT_number 1
_cell_length_a 4.981
_cell_length_b 4.981
_cell_length_c 4.981
_cell_angle_alpha 60.00
_cell_angle_beta 60.00
_cell_angle_gamma 60.00
loop_
_space_group_symop_operation_xyz
'x,y,z'
loop_
_atom_site_label
_atom_site_type_symbol
_atom_site_fract_x
_atom_site_fract_y
_atom_site_fract_z
_atom_site_occupancy
Hf1 Hf 0.500 0.500 0.500 1
Hg1 Hg 0.750 0.750 0.750 1
Ga1 Ga 0.250 0.250 0.250 1
Ho1 Ho 0.000 0.000 0.000 1
```

Computed properties:
* symmetry: F-43m, No. 216
* V: 21.842 Å³/atom
* calculated total energy: -0.1742 hartree per atom


## Tb7Nd3Th2 (PBE-GGA)

Data for Tb7Nd3Th2 after structural relaxation.

The structure in CIF format:
```
data_Tb7Nd3Th2
_chemical_formula_sum 'Tb7 Nd3 Th2'
_space_group_name_H-M_alt 'P 1'
_space_group_IT_number 1
_cell_length_a 3.601
_cell_length_b 6.237
_cell_length_c 18.398
_cell_angle_alpha 73.71
_cell_angle_beta 84.38
_cell_angle_gamma 90.00
loop_
_space_group_symop_operation_xyz
'x,y,z'
loop_
_atom_site_label
_atom_site_type_symbol
_atom_site_fract_x
_atom_site_fract_y
_atom_site_fract_z
_atom_site_occupancy
Tb1 Tb 0.249 0.739 0.503 1
Tb2 Tb 0.751 0.261 0.497 1
Tb3 Tb 0.583 0.974 0.834 1
Tb4 Tb 0.000 0.000 0.000 1
Tb5 Tb 0.417 0.026 0.166 1
Tb6 Tb 0.917 0.532 0.167 1
Tb7 Tb 0.083 0.468 0.833 1
Nd1 Nd 0.500 0.500 0.000 1
Nd2 Nd 0.167 0.946 0.665 1
Nd3 Nd 0.833 0.054 0.335 1
Th1 Th 0.666 0.447 0.668 1
Th2 Th 0.334 0.553 0.332 1
```

Computed properties:
* symmetry: P-1, No. 2
* V: 32.883 Å³/atom
* calculated total energy: -0.1869 hartree per atom


## SrCaAgAu (PBE-GGA)

Data for SrCaAgAu after structural relaxation.

The structure in CIF format:
```
data_SrCaAgAu
_chemical_formula_sum 'Sr1 Ca1 Ag1 Au1'
_space_group_name_H-M_alt 'P 1'
_space_group_IT_number 1
_cell_length_a 4.121
_cell_length_b 4.818
_cell_length_c 6.131
_cell_angle_alpha 90.00
_cell_angle_beta 109.64
_cell_angle_gamma 90.00
loop_
_space_group_symop_operation_xyz
'x,y,z'
loop_
_atom_site_label
_atom_site_type_symbol
_atom_site_fract_x
_atom_site_fract_y
_atom_site_fract_z
_atom_site_occupancy
Sr1 Sr 0.857 0.500 0.715 1
Ca1 Ca 0.137 0.000 0.273 1
Ag1 Ag 0.428 0.000 0.856 1
Au1 Au 0.578 0.500 0.156 1
```

Computed properties:
* symmetry: Amm2, No. 38
* V: 28.661 Å³/atom
* calculated total energy: -0.1101 hartree per atom